# 1
Density functional theory data (PBE-GGA) for a relaxed structure of CuSiRu2.

Cell and atoms, written as extended XYZ:
```
4
Lattice="3.714 0.000 0.000 0.000 2.806 0.000 0.000 1.809 5.133" Properties=species:S:1:pos:R:3 pbc="T T T"
Ru 0.000 0.368 0.064
Ru 0.000 1.940 2.503
Si 1.857 1.154 1.283
Cu 1.857 3.461 3.849
```

Properties
DOS(E_F)   3.59 states/eV/cell
Uncorrected formation energy   -115 meV/atom
Spin magnetization   0.000 μB per cell

---

# 2
Density functional theory data (PBE-GGA) for a relaxed structure of NpScBiO6.

Cell and atoms, written as extended XYZ:
```
18
Lattice="-5.458 -1.137 0.306 3.152 -0.181 4.606 -1.878 9.465 1.657" Properties=species:S:1:pos:R:3 pbc="T T T"
O -1.982 7.246 6.195
O -4.567 0.119 2.158
O -2.203 0.901 0.374
O -1.532 2.948 2.334
O 0.382 8.028 4.410
O 0.004 5.464 5.738
O -4.188 2.684 0.831
O -2.652 5.200 4.235
O -2.409 7.687 3.194
O -1.776 0.460 3.375
O -4.080 2.177 3.850
O -0.104 5.971 2.719
Sc -3.997 6.281 2.982
Sc -0.188 1.867 3.587
Np -1.127 6.599 4.415
Np -3.058 1.548 2.154
Bi -0.939 4.733 0.829
Bi 0.000 0.000 0.000
```

Properties
DOS(E_F)   0.41 states/eV/cell
Uncorrected formation energy   -2560 meV/atom
Spin magnetization   2.000 μB per cell